# 1
Tb2Cd5Hg12 | PBE | optimized geometry

Calculated values
calculated density: 11.59 g/cm³
distance to the lowest polymorph of the same formula: 12.6 meV/atom
formation enthalpy at 0 K: -0.10 eV per atom

```
19
Lattice="-9.047 -3.499 1.352 5.132 -2.285 -7.046 2.336 -4.579 3.783" Properties=species:S:1:pos:R:3 pbc="T T T"
Hg -5.897 -5.075 -0.795
Hg -5.208 -6.180 1.939
Hg -0.794 -4.473 1.279
Hg -1.734 -3.465 -1.417
Hg 2.406 -5.475 1.929
Hg -0.786 -5.889 -3.190
Hg -3.985 -4.887 -3.840
Hg 4.317 -5.288 -1.116
Hg 2.240 -6.970 -3.046
Hg -3.820 -3.393 1.135
Hg 0.154 -6.897 -0.494
Hg 3.629 -4.182 -3.850
Cd 1.168 -2.290 1.891
Cd -3.004 -6.305 -0.942
Cd 0.710 -3.331 -3.865
Cd -2.290 -7.032 1.954
Cd 1.424 -4.057 -0.969
Tb -2.145 -0.830 0.321
Tb -6.902 -2.669 1.032
```

=====

# 2
Sc8Co2Cu | PBE | optimized geometry

Calculated values
calculated density: 3.98 g/cm³
formation enthalpy at 0 K: -0.10 eV per atom

```
11
Lattice="4.923 0.113 -0.785 -1.615 6.407 -2.709 0.105 -0.089 7.140" Properties=species:S:1:pos:R:3 pbc="T T T"
Sc 3.711 4.997 -1.143
Sc 4.615 1.584 4.030
Sc 2.809 0.493 1.719
Sc 2.360 2.190 -0.852
Sc 0.594 5.975 1.952
Sc 1.043 4.278 4.526
Sc 0.359 2.399 1.520
Sc 3.045 4.075 2.156
Cu 4.916 0.136 -0.769
Co 2.028 2.007 3.698
Co 1.378 4.463 -0.025
```

=====

# 3
Cs3TlAg2I6 | PBE | optimized geometry

Calculated values
formation energy (no corrections): -0.8989 eV/atom
calculated density: 3.51 g/cm³

```
12
Lattice="-7.198 4.684 3.511 -1.095 -8.781 -2.790 2.388 -3.217 9.186" Properties=species:S:1:pos:R:3 pbc="T T T"
I -0.830 -2.212 7.287
I -5.075 -5.101 2.620
I -4.483 0.165 9.069
I -0.867 -3.023 2.254
I -5.038 -4.291 7.653
I -1.423 -7.478 0.838
Cs 0.000 0.000 0.000
Cs -4.264 -1.017 4.874
Cs -1.642 -6.297 5.033
Ag -2.539 -5.088 1.581
Ag -3.366 -2.226 8.326
Tl 1.194 -1.608 4.593
```

=====

# 4
Pr4ZnAg | PBE | optimized geometry

Calculated values
calculated density: 6.25 g/cm³
distance to the lowest polymorph of the same formula: 218.5 meV/atom
formation enthalpy at 0 K: 0.05 eV per atom

```
6
Lattice="-1.478 -2.295 4.350 -2.266 -3.715 -2.730 6.313 -3.909 0.082" Properties=species:S:1:pos:R:3 pbc="T T T"
Pr 1.658 -7.741 -0.481
Pr 0.503 -2.859 -1.331
Pr -1.370 -5.864 -0.521
Pr 3.529 -4.736 -1.291
Zn 0.884 -5.655 -2.676
Ag 4.433 -6.900 0.905
```

=====

# 5
HfBeRu3 | PBE | optimized geometry

Calculated values
calculated density: 11.31 g/cm³
distance to the lowest polymorph of the same formula: 0.0 meV/atom
formation enthalpy at 0 K: -0.10 eV per atom

```
5
Lattice="4.161 0.000 0.000 0.000 4.161 0.000 0.000 0.000 4.161" Properties=species:S:1:pos:R:3 pbc="T T T"
Ru 0.000 2.080 0.000
Ru 0.000 0.000 2.080
Ru 2.080 0.000 0.000
Hf 2.080 2.080 2.080
Be 0.000 0.000 0.000
```

=====

# 6
Y4MgIn2 | PBE | optimized geometry

Calculated values
calculated density: 4.99 g/cm³
formation enthalpy at 0 K: -0.28 eV per atom

```
7
Lattice="-1.549 -0.195 5.029 -3.345 -3.747 1.582 4.893 -6.374 4.017" Properties=species:S:1:pos:R:3 pbc="T T T"
Y 2.342 -4.395 3.308
Y 2.280 -6.926 5.948
Y -2.343 -5.920 7.320
Y -2.281 -3.389 4.680
Mg 0.000 0.000 0.000
In -0.094 -2.506 2.631
In 0.092 -7.809 7.997
```

=====

# 7
Na2NpUS4 | PBE | optimized geometry

Calculated values
formation energy (no corrections): -1.3598 eV/atom
calculated density: 5.85 g/cm³

```
8
Lattice="-3.506 -1.420 -1.247 -2.047 -0.692 6.547 -1.801 6.464 -2.297" Properties=species:S:1:pos:R:3 pbc="T T T"
U 0.000 0.000 0.000
Na -2.653 2.522 -1.772
Na -1.924 2.886 2.125
S -1.910 4.809 -0.104
S -2.660 0.608 0.427
S -4.694 3.744 2.576
S -1.938 0.963 4.353
Np -2.777 -1.056 2.650
```

=====

# 8
Sc2IrPd2 | PBE | optimized geometry

Calculated values
calculated density: 9.34 g/cm³
distance to the lowest polymorph of the same formula: 0.0 meV/atom
formation enthalpy at 0 K: -0.80 eV per atom

```
5
Lattice="-2.150 -1.223 1.922 1.722 -3.026 0.001 5.163 0.936 6.372" Properties=species:S:1:pos:R:3 pbc="T T T"
Ir 0.000 0.000 0.000
Pd 3.573 0.031 4.017
Pd 3.312 -2.121 2.356
Sc 4.106 -1.668 6.085
Sc 0.629 -1.645 2.210
```

=====

# 9
LiSb2MoRh | PBE | optimized geometry

Calculated values
formation energy (no corrections): 0.5593 eV/atom
calculated density: 6.65 g/cm³

```
5
Lattice="-3.293 3.746 0.838 -1.056 -1.792 3.860 3.640 2.697 2.248" Properties=species:S:1:pos:R:3 pbc="T T T"
Mo -0.354 2.325 3.473
Sb -1.646 1.873 0.419
Sb 1.820 1.348 1.124
Rh 0.000 0.000 0.000
Li -0.528 -0.896 1.930
```

=====

# 10
La4AsSe3 | PBE | optimized geometry

Calculated values
formation energy (no corrections): -1.9265 eV/atom
calculated density: 6.29 g/cm³

```
8
Lattice="6.119 0.000 0.000 0.000 6.119 0.000 0.000 0.000 6.119" Properties=species:S:1:pos:R:3 pbc="T T T"
As 0.000 0.000 0.000
La 3.059 0.000 0.000
La 0.000 0.000 3.059
La 0.000 3.059 0.000
La 3.059 3.059 3.059
Se 3.059 3.059 0.000
Se 0.000 3.059 3.059
Se 3.059 0.000 3.059
```

=====

# 11
MoAs | PBE | optimized geometry

Calculated values
calculated density: 5.83 g/cm³
formation enthalpy at 0 K: 0.22 eV per atom

```
16
Lattice="-5.126 7.308 5.829 -9.227 -5.022 -1.818 0.482 -1.902 2.809" Properties=species:S:1:pos:R:3 pbc="T T T"
As -8.652 1.436 4.548
As -5.218 -1.052 2.273
As -5.284 1.759 4.188
As -1.933 1.910 1.625
As -8.586 -1.375 2.632
As -7.594 5.495 5.025
As -12.419 0.376 2.386
As -6.759 -3.208 -1.013
Mo -6.884 -2.691 1.449
Mo -3.483 0.510 3.033
Mo -3.801 3.251 2.854
Mo -4.977 -1.504 -0.164
Mo -10.551 -0.965 1.157
Mo -10.388 -0.126 3.787
Mo -9.375 3.790 4.176
Mo -6.987 3.075 5.372
```

=====

# 12
K3BaOs | PBE | optimized geometry

Calculated values
calculated density: 2.28 g/cm³
distance to the lowest polymorph of the same formula: 1071.3 meV/atom
formation enthalpy at 0 K: 2.23 eV per atom

```
5
Lattice="-0.740 -4.660 -4.987 -4.692 -3.296 3.776 -4.957 3.816 -2.829" Properties=species:S:1:pos:R:3 pbc="T T T"
K -2.479 1.908 -1.415
K -2.346 -1.648 1.888
K -0.370 -2.330 -2.494
Os -5.195 -2.070 -2.020
Ba 0.000 0.000 0.000
```